This record from Alexandria describes a crystal of CeAl3Pd relaxed with PBEsol. The functional is meta-GGA SCAN.

energy relative to the elements	-0.67	eV/atom
M_tot	0.83	μB per formula unit
space-group type	I-4m2, No. 119

Unit cell a=4.1396 b=4.1396 c=6.2358 alpha=109.39 beta=109.39 gamma=90.00
Sites, in units of the cell vectors:
Ce 0.0000 0.0000 0.0000
Pd 0.7500 0.2500 0.5000
Al 0.3856 0.3856 0.7713
Al 0.2500 0.7500 0.5000
Al 0.6144 0.6144 0.2287

---

This record from Alexandria describes a crystal of CeAlPd relaxed with PBEsol. The functional is meta-GGA SCAN.

energy relative to the elements	-0.86	eV/atom
M_tot	0.26	μB per formula unit
space-group type	P-62m, No. 189

Unit cell a=4.1563 b=7.0304 c=7.0304 alpha=120.00 beta=90.00 gamma=90.00
Sites, in units of the cell vectors:
Al 0.0000 0.0000 0.2339
Al 0.0000 0.2339 0.0000
Al 0.0000 0.7661 0.7661
Pd 0.0000 0.3333 0.6667
Pd 0.0000 0.6667 0.3333
Pd 0.5000 0.0000 0.0000
Ce 0.5000 0.0000 0.5759
Ce 0.5000 0.5759 0.0000
Ce 0.5000 0.4241 0.4241

---

This record from Alexandria describes a crystal of CeYAl2Pd2 relaxed with PBEsol. The functional is meta-GGA SCAN.

energy relative to the elements	-0.93	eV/atom
M_tot	0.00	μB per formula unit
space-group type	Pm, No. 6

Unit cell a=4.0638 b=7.1204 c=12.1526 alpha=90.33 beta=90.00 gamma=90.00
Sites, in units of the cell vectors:
Pd 0.0000 0.4963 0.8369
Pd 0.0000 0.0039 0.3371
Pd 0.5000 0.4988 0.4998
Pd 0.0000 0.5034 0.1641
Pd 0.0000 0.0081 0.6650
Pd 0.5000 0.9963 0.9990
Ce 0.5000 0.0795 0.5000
Ce 0.5000 0.2116 0.7887
Ce 0.5000 0.5761 0.0008
Al 0.0000 0.3851 0.3788
Al 0.0000 0.8787 0.8806
Al 0.0000 0.2302 0.0024
Al 0.0000 0.7345 0.4992
Al 0.0000 0.3873 0.6172
Al 0.0000 0.8823 0.1211
Y 0.5000 0.7091 0.7081
Y 0.5000 0.2088 0.2093
Y 0.5000 0.7100 0.2918

---

This record from Alexandria describes a crystal of CeY2Al3Pd3 relaxed with PBEsol. The functional is meta-GGA SCAN.

energy relative to the elements	-0.95	eV/atom
M_tot	0.69	μB per formula unit
space-group type	Amm2, No. 38

Unit cell a=3.9926 b=7.0865 c=7.0865 alpha=119.06 beta=90.00 gamma=90.00
Sites, in units of the cell vectors:
Pd 0.5000 0.9968 0.9968
Pd 0.0000 0.3410 0.6664
Pd 0.0000 0.6664 0.3410
Al 0.0000 0.7616 0.0046
Al 0.0000 0.2323 0.2323
Al 0.0000 0.0046 0.7616
Ce 0.5000 0.5787 0.5787
Y 0.5000 0.4175 0.0010
Y 0.5000 0.0010 0.4175

---

This record from Alexandria describes a crystal of Ce2YAl3Pd3 relaxed with PBEsol. The functional is meta-GGA SCAN.

energy relative to the elements	-0.91	eV/atom
M_tot	0.11	μB per formula unit
space-group type	Amm2, No. 38

Unit cell a=4.0828 b=7.0101 c=7.0923 alpha=119.62 beta=90.00 gamma=90.00
Sites, in units of the cell vectors:
Y 0.5000 0.4176 0.0000
Pd 0.5000 0.9977 0.0000
Pd 0.0000 0.6738 0.3407
Pd 0.0000 0.3330 0.6593
Ce 0.5000 0.5777 0.5765
Ce 0.5000 0.0012 0.4235
Al 0.0000 0.7607 0.0000
Al 0.0000 0.0034 0.7684
Al 0.0000 0.2349 0.2316

---

This record from Alexandria describes a crystal of CeAl5Pt3 relaxed with PBEsol. The functional is meta-GGA SCAN.

energy relative to the elements	-1.27	eV/atom
M_tot	0.80	μB per formula unit
space-group type	Pnma, No. 62

Unit cell a=4.0978 b=7.2427 c=20.5927 alpha=90.00 beta=90.00 gamma=90.00
Sites, in units of the cell vectors:
Al 0.2500 0.1152 0.0162
Al 0.7500 0.6152 0.4838
Al 0.7500 0.1421 0.8818
Al 0.2500 0.8686 0.4935
Al 0.7500 0.0691 0.2073
Al 0.2500 0.6421 0.6182
Al 0.7500 0.1314 0.5065
Al 0.2500 0.9309 0.7927
Al 0.2500 0.3161 0.7989
Al 0.7500 0.6839 0.2011
Al 0.7500 0.3579 0.3818
Al 0.2500 0.8579 0.1182
Al 0.7500 0.3686 0.0065
Al 0.2500 0.3848 0.5162
Al 0.2500 0.1839 0.2989
Al 0.7500 0.4309 0.7073
Al 0.7500 0.8161 0.7011
Al 0.7500 0.8848 0.9838
Al 0.2500 0.6314 0.9935
Al 0.2500 0.5691 0.2927
Ce 0.7500 0.8789 0.3595
Ce 0.2500 0.1211 0.6405
Ce 0.2500 0.3789 0.1405
Ce 0.7500 0.6211 0.8595
Pt 0.7500 0.8413 0.5742
Pt 0.7500 0.6587 0.0742
Pt 0.2500 0.9184 0.9156
Pt 0.2500 0.3413 0.9258
Pt 0.2500 0.6220 0.7396
Pt 0.7500 0.1220 0.7604
Pt 0.2500 0.5816 0.4156
Pt 0.7500 0.0816 0.0844
Pt 0.2500 0.1587 0.4258
Pt 0.2500 0.8780 0.2396
Pt 0.7500 0.4184 0.5844
Pt 0.7500 0.3780 0.2604

---

This record from Alexandria describes a crystal of Ce2Al16Pt9 relaxed with PBEsol. The functional is meta-GGA SCAN.

energy relative to the elements	-1.23	eV/atom
M_tot	1.67	μB per formula unit
space-group type	Immm, No. 71

Unit cell a=4.1414 b=11.0304 c=11.0304 alpha=65.00 beta=79.18 gamma=79.18
Sites, in units of the cell vectors:
Pt 0.5000 0.7515 0.2485
Pt 0.0000 0.0000 0.0000
Pt 0.3396 0.9760 0.3448
Pt 0.8742 0.6258 0.6258
Pt 0.5000 0.2485 0.7515
Pt 0.6604 0.0240 0.6552
Pt 0.1258 0.3742 0.3742
Pt 0.6604 0.6552 0.0240
Pt 0.3396 0.3448 0.9760
Al 0.0798 0.7485 0.0919
Al 0.6079 0.5106 0.2736
Al 0.0798 0.0919 0.7485
Al 0.9202 0.2515 0.9081
Al 0.2036 0.1049 0.4878
Al 0.2036 0.4878 0.1049
Al 0.3921 0.4894 0.7264
Al 0.4134 0.0866 0.0866
Al 0.0000 0.6137 0.3863
Al 0.7964 0.5122 0.8951
Al 0.7964 0.8951 0.5122
Al 0.5866 0.9134 0.9134
Al 0.9202 0.9081 0.2515
Al 0.0000 0.3863 0.6137
Al 0.3921 0.7264 0.4894
Al 0.6079 0.2736 0.5106
Ce 0.2275 0.7725 0.7725
Ce 0.7725 0.2275 0.2275

---

This record from Alexandria describes a crystal of CeAlRh relaxed with PBEsol. The functional is meta-GGA SCAN.

energy relative to the elements	-0.95	eV/atom
M_tot	0.35	μB per formula unit
space-group type	Pnma, No. 62

Unit cell a=4.1718 b=6.9814 c=15.5745 alpha=90.00 beta=90.00 gamma=90.00
Sites, in units of the cell vectors:
Rh 0.2500 0.2650 0.8177
Rh 0.7500 0.2788 0.5738
Rh 0.7500 0.7350 0.1823
Rh 0.7500 0.2350 0.3177
Rh 0.2500 0.7650 0.6823
Rh 0.2500 0.2212 0.0738
Rh 0.2500 0.7212 0.4262
Rh 0.7500 0.7788 0.9262
Ce 0.2500 0.5263 0.2793
Ce 0.7500 0.3488 0.9409
Ce 0.7500 0.8488 0.5591
Ce 0.7500 0.9737 0.7793
Ce 0.7500 0.4737 0.7207
Ce 0.2500 0.1512 0.4409
Ce 0.2500 0.0263 0.2207
Ce 0.2500 0.6512 0.0591
Al 0.7500 0.9944 0.0623
Al 0.2500 0.5056 0.5623
Al 0.7500 0.8556 0.3498
Al 0.2500 0.6444 0.8498
Al 0.2500 0.1444 0.6502
Al 0.2500 0.0056 0.9377
Al 0.7500 0.4944 0.4377
Al 0.7500 0.3556 0.1502

---

This record from Alexandria describes a crystal of Ce2Al9Rh3 relaxed with PBEsol. The functional is meta-GGA SCAN.

energy relative to the elements	-0.91	eV/atom
M_tot	0.77	μB per formula unit
space-group type	Cmcm, No. 63

Unit cell a=7.5556 b=7.5556 c=9.3546 alpha=90.00 beta=90.00 gamma=119.48
Sites, in units of the cell vectors:
Rh 0.0000 0.0000 0.5000
Rh 0.6719 0.3281 0.5000
Rh 0.3281 0.6719 0.0000
Rh 0.0000 0.0000 0.0000
Rh 0.3281 0.6719 0.5000
Rh 0.6719 0.3281 0.0000
Al 0.1288 0.1288 0.7500
Al 0.9981 0.6642 0.4242
Al 0.3358 0.0019 0.5758
Al 0.5510 0.3426 0.7500
Al 0.3336 0.3336 0.4505
Al 0.3358 0.0019 0.9242
Al 0.3426 0.5510 0.7500
Al 0.3336 0.3336 0.0495
Al 0.6574 0.4490 0.2500
Al 0.0019 0.3358 0.5758
Al 0.4490 0.6574 0.2500
Al 0.6664 0.6664 0.9505
Al 0.6642 0.9981 0.0758
Al 0.6664 0.6664 0.5495
Al 0.0019 0.3358 0.9242
Al 0.9981 0.6642 0.0758
Al 0.8712 0.8712 0.2500
Al 0.6642 0.9981 0.4242
Ce 0.9963 0.6716 0.7500
Ce 0.3284 0.0037 0.2500
Ce 0.0037 0.3284 0.2500
Ce 0.6716 0.9963 0.7500

---

This record from Alexandria describes a crystal of CeAl4Si2Rh relaxed with PBEsol. The functional is meta-GGA SCAN.

M_tot	0.81	μB per formula unit
space-group type	P4/mmm, No. 123
total energy	-16.857	eV/atom

Unit cell a=4.1987 b=4.1987 c=7.8692 alpha=90.00 beta=90.00 gamma=90.00
Sites, in units of the cell vectors:
Rh 0.0000 0.0000 0.0000
Al 0.0000 0.5000 0.1708
Al 0.5000 0.0000 0.1708
Al 0.0000 0.5000 0.8292
Al 0.5000 0.0000 0.8292
Si 0.5000 0.5000 0.6428
Si 0.5000 0.5000 0.3572
Ce 0.0000 0.0000 0.5000

---

This record from Alexandria describes a crystal of Ce2Al3Ru relaxed with PBEsol. The functional is meta-GGA SCAN.

energy relative to the elements	-0.58	eV/atom
M_tot	1.89	μB per formula unit
space-group type	P6_3/mmc, No. 194

Unit cell a=5.4430 b=5.4430 c=8.8461 alpha=90.00 beta=90.00 gamma=120.00
Sites, in units of the cell vectors:
Al 0.8372 0.6743 0.2500
Al 0.8372 0.1628 0.2500
Al 0.6743 0.8372 0.7500
Al 0.1628 0.8372 0.7500
Al 0.1628 0.3257 0.7500
Al 0.3257 0.1628 0.2500
Ru 0.0000 0.0000 0.5000
Ru 0.0000 0.0000 0.0000
Ce 0.3333 0.6667 0.4475
Ce 0.6667 0.3333 0.5525
Ce 0.3333 0.6667 0.0525
Ce 0.6667 0.3333 0.9475

---

This record from Alexandria describes a crystal of Ce3AlVS7 relaxed with PBEsol. The functional is meta-GGA SCAN.

M_tot	0.18	μB per formula unit
space-group type	P6_3, No. 173
total energy	-20.782	eV/atom

Unit cell a=6.1134 b=9.5257 c=9.5257 alpha=120.00 beta=90.00 gamma=90.00
Sites, in units of the cell vectors:
V 0.9341 0.0000 0.0000
V 0.4341 0.0000 0.0000
S 0.4892 0.6667 0.3333
S 0.1871 0.7707 0.8930
S 0.6871 0.8777 0.7707
S 0.6871 0.8930 0.1223
S 0.1871 0.1223 0.2293
S 0.1871 0.1070 0.8777
S 0.9904 0.5313 0.4499
S 0.6871 0.2293 0.1070
S 0.9904 0.5501 0.0814
S 0.9904 0.9186 0.4687
S 0.4904 0.4687 0.5501
S 0.4904 0.4499 0.9186
S 0.4904 0.0814 0.5313
S 0.9892 0.3333 0.6667
Ce 0.2759 0.3713 0.1718
Ce 0.2759 0.8005 0.6287
Ce 0.7759 0.1718 0.8005
Ce 0.7759 0.6287 0.8282
Ce 0.7759 0.1995 0.3713
Ce 0.2759 0.8282 0.1995
Al 0.8518 0.6667 0.3333
Al 0.3518 0.3333 0.6667

---

This record from Alexandria describes a crystal of CeScAl4 relaxed with PBEsol. The functional is meta-GGA SCAN.

energy relative to the elements	-0.44	eV/atom
M_tot	1.20	μB per formula unit
space-group type	F-43m, No. 216

Unit cell a=5.4586 b=5.4586 c=5.4586 alpha=60.00 beta=60.00 gamma=60.00
Sites, in units of the cell vectors:
Ce 0.7500 0.7500 0.7500
Al 0.3753 0.3753 0.8742
Al 0.3753 0.8742 0.3753
Al 0.3753 0.3753 0.3753
Al 0.8742 0.3753 0.3753
Sc 0.0000 0.0000 0.0000

---

This record from Alexandria describes a crystal of CeAlSi2 relaxed with PBEsol. The functional is meta-GGA SCAN.

M_tot	0.73	μB per formula unit
space-group type	P-3m1, No. 164
total energy	-18.558	eV/atom

Unit cell a=4.1100 b=4.1100 c=10.7467 alpha=90.00 beta=90.00 gamma=120.00
Sites, in units of the cell vectors:
Si 0.3333 0.6667 0.9968
Si 0.6667 0.3333 0.6517
Si 0.6667 0.3333 0.0032
Si 0.3333 0.6667 0.3483
Ce 0.0000 0.0000 0.8214
Ce 0.0000 0.0000 0.1786
Al 0.6667 0.3333 0.4136
Al 0.3333 0.6667 0.5864

---

This record from Alexandria describes a crystal of CeTi2Al20 relaxed with PBEsol. The functional is meta-GGA SCAN.

energy relative to the elements	-0.27	eV/atom
M_tot	0.17	μB per formula unit
space-group type	Fd-3m, No. 227

Unit cell a=10.3067 b=10.3067 c=10.3067 alpha=60.00 beta=60.00 gamma=60.00
Sites, in units of the cell vectors:
Al 0.4495 0.1816 0.4495
Al 0.3622 0.3622 0.6378
Al 0.6378 0.6378 0.3622
Al 0.9194 0.4495 0.4495
Al 0.6122 0.6122 0.8878
Al 0.6250 0.1250 0.1250
Al 0.8005 0.8005 0.0684
Al 0.4495 0.4495 0.9194
Al 0.1816 0.9194 0.4495
Al 0.0684 0.8005 0.3306
Al 0.8005 0.3306 0.8005
Al 0.0684 0.3306 0.8005
Al 0.3622 0.6378 0.3622
Al 0.4495 0.9194 0.4495
Al 0.8878 0.8878 0.6122
Al 0.6378 0.3622 0.3622
Al 0.9194 0.4495 0.1816
Al 0.6122 0.8878 0.8878
Al 0.3306 0.0684 0.8005
Al 0.4495 0.4495 0.1816
Al 0.0684 0.8005 0.8005
Al 0.8878 0.6122 0.8878
Al 0.1816 0.4495 0.9194
Al 0.4495 0.9194 0.1816
Al 0.3622 0.6378 0.6378
Al 0.6122 0.8878 0.6122
Al 0.1250 0.1250 0.6250
Al 0.8005 0.0684 0.8005
Al 0.8878 0.6122 0.6122
Al 0.3306 0.8005 0.8005
Al 0.4495 0.1816 0.9194
Al 0.8005 0.0684 0.3306
Al 0.8005 0.3306 0.0684
Al 0.3306 0.8005 0.0684
Al 0.1250 0.6250 0.1250
Al 0.6378 0.3622 0.6378
Al 0.9194 0.1816 0.4495
Al 0.1250 0.1250 0.1250
Al 0.8005 0.8005 0.3306
Al 0.1816 0.4495 0.4495
Ce 0.2500 0.2500 0.2500
Ce 0.0000 0.0000 0.0000
Ti 0.1250 0.6250 0.6250
Ti 0.6250 0.1250 0.6250
Ti 0.6250 0.6250 0.6250
Ti 0.6250 0.6250 0.1250